Record 1
The following is a PBE-GGA calculation of a geometry-optimized AlGeIN2 structure, from Alexandria via LeMat-Bulk.

POSCAR file:
```
AlGeIN2
1.0
3.8817 0.0000 0.0000
0.0000 3.8817 0.0000
0.0000 0.0000 6.3523
Al Ge I N
1 1 1 2
direct
0.0000 0.0000 0.0000
0.5000 0.5000 0.5000
0.5000 0.5000 0.0000
0.0000 0.5000 0.5000
0.5000 0.0000 0.5000
```

Results
ΔE to the lowest computed polymorph (meV/atom): 307

***

Record 2
The following is a PBE-GGA calculation of a geometry-optimized NdAlGeI structure, from Alexandria via LeMat-Bulk.

POSCAR file:
```
NdAlGeI
1.0
2.1687 1.2521 14.7865
-2.1687 1.2521 14.7865
0.0000 -2.5042 14.7865
Nd Al Ge I
2 2 2 2
direct
0.0751 0.0751 0.0751
0.9249 0.9249 0.9249
0.3111 0.3111 0.3111
0.6889 0.6889 0.6889
0.3688 0.3688 0.3688
0.6312 0.6312 0.6312
0.2120 0.2120 0.2120
0.7880 0.7880 0.7880
```

Results
Total energy (eV per atom): -4.463

***

Record 3
The following is a PBE-GGA calculation of a geometry-optimized AlGeI2O structure, from Alexandria via LeMat-Bulk.

POSCAR file:
```
AlGeI2O
1.0
5.8012 0.0000 0.0000
0.0000 5.8012 0.0000
0.0000 0.0000 3.5088
Al Ge I O
1 1 2 1
direct
0.0000 0.0000 0.0000
0.5000 0.5000 0.5000
0.0000 0.5000 0.0000
0.5000 0.0000 0.0000
0.0000 0.0000 0.5000
```

Results
ΔE to the lowest computed polymorph (meV/atom): 0

***

Record 4
The following is a PBE-GGA calculation of a geometry-optimized AlGeIO2 structure, from Alexandria via LeMat-Bulk.

POSCAR file:
```
AlGeIO2
1.0
3.9356 0.0000 0.0000
0.0000 3.9356 0.0000
0.0000 0.0000 5.9554
Al Ge I O
1 1 1 2
direct
0.0000 0.0000 0.0000
0.5000 0.5000 0.5000
0.5000 0.5000 0.0000
0.0000 0.5000 0.5000
0.5000 0.0000 0.5000
```

Results
ΔE to the lowest computed polymorph (meV/atom): 428